Entry 1:
Here is a relaxed structure of VGaIO2 from the Alexandria database. Energies are from PBE with a Hubbard U.

Lattice parameters (Å, degrees): 3.9570 3.9570 5.7412 90.00 90.00 90.00
Closest atoms and distances in Å follow each position.
Space group P4/mmm (No. 123)
Inequivalent atoms, fractional coordinates:
V1 0.0000 0.0000 0.0000  4 O 1.98
Ga1 0.5000 0.5000 0.5000  4 I 2.80
I1 0.0000 0.0000 0.5000  4 Ga 2.80, 2 V 2.87
O1 0.0000 0.5000 0.0000  2 V 1.98

## Properties
Crystal system: tetragonal
E above lowest polymorph (eV/f.u.): 0.000



Entry 2:
Here is a relaxed structure of GaWI2O from the Alexandria database. Energies are from PBE with a Hubbard U.

Lattice parameters (Å, degrees): 5.8908 5.8908 3.6491 90.00 90.00 90.00
Closest atoms and distances in Å follow each position.
Space group P4/mmm (No. 123)
Inequivalent atoms, fractional coordinates:
Ga1 0.0000 0.0000 0.0000  2 O 1.82
W1 0.5000 0.5000 0.5000  8 I 3.46, 2 W 3.65
I1 0.0000 0.5000 0.0000  2 Ga 2.95
O1 0.0000 0.0000 0.5000  2 Ga 1.82

## Properties
Crystal system: tetragonal
E above lowest polymorph (eV/f.u.): 3.051